Material: Tm3Hg2Pd4
Method: DFT, PBE
State: optimized geometry

The electronic total energy comes out at -4.5782 eV per atom. For the formation energy, the calculation gives -0.713 eV/atom. As for the spin magnetization: 0.0 μB per formula unit.

It has space group C2/c (No. 15), with a = 13.928 Å, b = 10.148 Å, c = 5.207 Å, α = 90.00°, β = 100.34° and γ = 90.00°. The inequivalent atoms are Tm at (0.000, 0.142, 0.250), Tm at (0.163, 0.384, 0.091), Hg at (0.116, 0.123, 0.799), Pd at (0.056, 0.379, 0.530) and Pd at (0.222, 0.134, 0.351).